No. 1
Entry from Alexandria via LeMat-Bulk: Ac6PtSe5 after structural relaxation (PBE).

## Properties
* formation energy (no corrections): -1753 meV per atom
* E_tot: -5.76 eV/atom
* calculated density: 8468 kg/m³

Geometry as POSCAR:
```
Ac6PtSe5
1.0
3.897 -6.723 0.000
3.897 6.723 0.000
-2.606 0.000 7.304
Ac Pt Se
6 1 5
Direct
0.080 0.403 0.743
0.242 0.242 0.254
0.403 0.080 0.743
0.597 0.920 0.257
0.758 0.758 0.746
0.920 0.597 0.257
0.000 0.000 0.500
0.174 0.826 0.000
0.334 0.666 0.500
0.500 0.500 0.000
0.666 0.334 0.500
0.826 0.174 0.000
```



No. 2
Entry from Alexandria via LeMat-Bulk: Tm12Sn5C2 after structural relaxation (PBE).

## Properties
* ΔE_f: -357 meV/atom
* E_tot: -5.21 eV/atom
* calculated density: 8013 kg/m³

Geometry as POSCAR:
```
Tm12Sn5C2
1.0
8.293 -3.703 0.000
8.293 3.703 0.000
-2.663 0.000 8.925
Tm Sn C
12 5 2
Direct
0.002 0.002 0.179
0.099 0.603 0.427
0.102 0.594 0.923
0.397 0.901 0.573
0.406 0.898 0.077
0.498 0.498 0.170
0.502 0.502 0.830
0.594 0.102 0.923
0.603 0.099 0.427
0.898 0.406 0.077
0.901 0.397 0.573
0.998 0.998 0.821
0.186 0.186 0.841
0.195 0.195 0.348
0.500 0.500 0.500
0.805 0.805 0.652
0.814 0.814 0.159
0.250 0.750 0.000
0.750 0.250 0.000
```



No. 3
Entry from Alexandria via LeMat-Bulk: BaLa2YPd after structural relaxation (PBE).

## Properties
* ΔE_f: 750 meV/atom
* E_tot: -3.94 eV/atom
* excess energy over the best structure of this formula in the dataset: 0.920 eV/atom
* calculated density: 5466 kg/m³

Geometry as POSCAR:
```
BaLa2YPd
1.0
5.934 0.000 0.000
0.000 5.934 0.000
0.000 0.000 5.266
Ba La Y Pd
1 2 1 1
Direct
0.000 0.000 0.000
0.000 0.500 0.000
0.500 0.000 0.000
0.500 0.500 0.500
0.000 0.000 0.500
```



No. 4
Entry from Alexandria via LeMat-Bulk: Hg4MoW after structural relaxation (PBE).

## Properties
* ΔE_f: 1145 meV/atom
* E_tot: -3.02 eV/atom
* calculated density: 14683 kg/m³

Geometry as POSCAR:
```
Hg4MoW
1.0
0.000 3.941 3.941
3.941 0.000 3.941
3.941 3.941 0.000
Hg Mo W
4 1 1
Direct
0.125 0.125 0.125
0.125 0.125 0.625
0.125 0.625 0.125
0.625 0.125 0.125
0.750 0.750 0.750
0.500 0.500 0.500
```



No. 5
Entry from Alexandria via LeMat-Bulk: TbPm4Tm2Th after structural relaxation (PBE).

## Properties
* ΔE_f: 35 meV/atom
* E_tot: -4.96 eV/atom
* calculated density: 8300 kg/m³

Geometry as POSCAR:
```
TbPm4Tm2Th
1.0
5.067 0.000 0.000
0.000 5.067 0.000
0.000 0.000 10.198
Tb Pm Tm Th
1 4 2 1
Direct
0.000 0.000 0.000
0.000 0.500 0.251
0.000 0.500 0.749
0.500 0.000 0.251
0.500 0.000 0.749
0.000 0.000 0.500
0.500 0.500 0.000
0.500 0.500 0.500
```



No. 6
Entry from Alexandria via LeMat-Bulk: Ac3Hg2N after structural relaxation (PBE).

## Properties
* formation energy (no corrections): -636 meV per atom
* E_tot: -4.18 eV/atom
* excess energy over the best structure of this formula in the dataset: 0.000 eV/atom
* calculated density: 9480 kg/m³

Geometry as POSCAR:
```
Ac3Hg2N
1.0
6.596 -3.821 0.000
6.596 3.821 0.000
-2.007 0.000 7.618
Ac Hg N
6 4 2
Direct
0.103 0.897 0.750
0.299 0.445 0.033
0.445 0.299 0.533
0.555 0.701 0.467
0.701 0.555 0.967
0.897 0.103 0.250
0.016 0.342 0.642
0.342 0.016 0.142
0.658 0.984 0.858
0.984 0.658 0.358
0.419 0.581 0.750
0.581 0.419 0.250
```



No. 7
Entry from Alexandria via LeMat-Bulk: Zn4ReNi after structural relaxation (PBE).

## Properties
* ΔE_f: 328 meV/atom
* E_tot: -3.56 eV/atom
* calculated density: 10277 kg/m³

Geometry as POSCAR:
```
Zn4ReNi
1.0
0.000 3.446 3.446
3.446 0.000 3.446
3.446 3.446 0.000
Zn Re Ni
4 1 1
Direct
0.125 0.125 0.125
0.125 0.125 0.626
0.125 0.626 0.125
0.626 0.125 0.125
0.750 0.750 0.750
0.500 0.500 0.500
```



No. 8
Entry from Alexandria via LeMat-Bulk: Li3Cd2Hg after structural relaxation (PBE).

## Properties
* ΔE_f: -298 meV/atom
* E_tot: -1.61 eV/atom
* calculated density: 6748 kg/m³

Geometry as POSCAR:
```
Li3Cd2Hg
1.0
3.408 0.000 0.000
0.000 3.408 0.000
0.000 0.000 9.456
Li Cd Hg
3 2 1
Direct
0.000 0.000 0.000
0.000 0.000 0.339
0.000 0.000 0.661
0.500 0.500 0.167
0.500 0.500 0.833
0.500 0.500 0.500
```



No. 9
Entry from Alexandria via LeMat-Bulk: Nd5Sm3Th2 after structural relaxation (PBE).

## Properties
* ΔE_f: 212 meV/atom
* E_tot: -5.07 eV/atom
* calculated density: 7852 kg/m³

Geometry as POSCAR:
```
Nd5Sm3Th2
1.0
5.574 -7.357 0.000
5.574 7.357 0.000
-5.566 0.000 8.439
Nd Sm Th
10 6 4
Direct
0.013 0.987 0.750
0.123 0.375 0.748
0.223 0.777 0.750
0.375 0.123 0.248
0.474 0.526 0.250
0.526 0.474 0.750
0.625 0.877 0.752
0.777 0.223 0.250
0.877 0.625 0.252
0.987 0.013 0.250
0.226 0.476 0.450
0.264 0.736 0.250
0.476 0.226 0.950
0.524 0.774 0.050
0.736 0.264 0.750
0.774 0.524 0.550
0.031 0.282 0.060
0.282 0.031 0.560
0.718 0.969 0.440
0.969 0.718 0.940
```



No. 10
Entry from Alexandria via LeMat-Bulk: Pm4Pr3Ho2 after structural relaxation (PBE).

## Properties
* ΔE_f: 15 meV/atom
* E_tot: -4.71 eV/atom
* excess energy over the best structure of this formula in the dataset: 0.000 eV/atom
* calculated density: 7186 kg/m³

Geometry as POSCAR:
```
Pm4Pr3Ho2
1.0
6.302 0.000 0.000
3.149 5.468 0.000
0.027 3.623 8.936
Pm Pr Ho
4 3 2
Direct
0.111 0.113 0.334
0.334 0.331 0.000
0.666 0.669 0.000
0.889 0.887 0.666
0.000 0.000 0.000
0.445 0.444 0.335
0.555 0.556 0.665
0.221 0.223 0.665
0.779 0.777 0.335
```



No. 11
Entry from Alexandria via LeMat-Bulk: Dy5Sc3Sb8 after structural relaxation (PBE).

## Properties
* formation energy (no corrections): -1048 meV per atom
* E_tot: -5.73 eV/atom
* calculated density: 7066 kg/m³

Geometry as POSCAR:
```
Dy5Sc3Sb8
1.0
4.307 2.487 7.026
-4.307 2.487 7.026
0.000 -4.974 7.026
Dy Sc Sb
5 3 8
Direct
0.000 0.000 0.000
0.000 0.500 0.500
0.500 0.000 0.500
0.500 0.500 0.000
0.500 0.500 0.500
0.000 0.000 0.500
0.000 0.500 0.000
0.500 0.000 0.000
0.240 0.750 0.750
0.245 0.245 0.245
0.250 0.250 0.760
0.250 0.760 0.250
0.750 0.240 0.750
0.750 0.750 0.240
0.755 0.755 0.755
0.760 0.250 0.250
```